(1)
VASP calculation (GGA-PBE) on a relaxed structure of ScAgPbS3.

Results
- E above lowest polymorph (meV/atom) = 34

a = 11.8919 Å, b = 3.8252 Å, c = 12.2879 Å
α = 90.00°, β = 90.00°, γ = 90.00°
With the nearest neighbours (Å) after each atom.
Sites, in units of the cell vectors:
S (0.2608, 0.5000, 0.1873)  1 Sc 2.61, 2 Pb 2.72, 2 Ag 2.85
S (0.9032, 0.5000, 0.5569)  1 Ag 2.43, 3 Sc 2.62-2.63
S (0.2392, 0.0000, 0.6873)  1 Sc 2.61, 2 Pb 2.72, 2 Ag 2.85
S (0.4779, 0.0000, 0.2948)  1 Ag 2.46, 2 Sc 2.66
S (0.4032, 0.5000, 0.9431)  1 Ag 2.43, 3 Sc 2.62-2.63
S (0.5968, 0.0000, 0.0569)  1 Ag 2.43, 3 Sc 2.62-2.63
S (0.9779, 0.0000, 0.2052)  1 Ag 2.46, 2 Sc 2.66
S (0.0968, 0.0000, 0.4431)  1 Ag 2.43, 3 Sc 2.62-2.63
S (0.0221, 0.5000, 0.7948)  1 Ag 2.46, 2 Sc 2.66
S (0.7392, 0.0000, 0.8127)  1 Sc 2.61, 2 Pb 2.72, 2 Ag 2.85
S (0.7608, 0.5000, 0.3127)  1 Sc 2.61, 2 Pb 2.72, 2 Ag 2.85
S (0.5221, 0.5000, 0.7052)  1 Ag 2.46, 2 Sc 2.66
Pb (0.1594, 0.0000, 0.0644)  3 S 2.72-2.77
Pb (0.3406, 0.5000, 0.5645)  3 S 2.72-2.77
Pb (0.6594, 0.0000, 0.4355)  3 S 2.72-2.77
Pb (0.8406, 0.5000, 0.9355)  3 S 2.72-2.77
Sc (0.9762, 0.5000, 0.3552)  6 S 2.61-2.66
Sc (0.5238, 0.0000, 0.8552)  6 S 2.61-2.66
Sc (0.0238, 0.0000, 0.6448)  6 S 2.61-2.66
Sc (0.4762, 0.5000, 0.1448)  6 S 2.61-2.66
Ag (0.2182, 0.5000, 0.8583)  2 S 2.43-2.46
Ag (0.7182, 0.5000, 0.6417)  2 S 2.43-2.46
Ag (0.2818, 0.0000, 0.3583)  2 S 2.43-2.46
Ag (0.7818, 0.0000, 0.1417)  2 S 2.43-2.46

(2)
VASP calculation (GGA-PBE) on a relaxed structure of PaCdCo.

Results
- E above lowest polymorph (meV/atom) = 792
- calculated formation energy (meV per atom) = 920.3

a = 4.6887 Å, b = 4.6887 Å, c = 4.6887 Å
α = 60.00°, β = 60.00°, γ = 60.00°
With the nearest neighbours (Å) after each atom.
Sites, in units of the cell vectors:
Co (0.0000, 0.0000, 0.0000)  4 Pa 2.87
Cd (0.5000, 0.5000, 0.5000)  4 Pa 2.87
Pa (0.7500, 0.7500, 0.7500)  4 Co 2.87, 4 Cd 2.87

(3)
VASP calculation (GGA-PBE) on a relaxed structure of MgScZnFe.

Results
- E above lowest polymorph (meV/atom) = 0

a = 4.4944 Å, b = 4.4944 Å, c = 4.4944 Å
α = 60.00°, β = 60.00°, γ = 60.00°
With the nearest neighbours (Å) after each atom.
Sites, in units of the cell vectors:
Fe (0.5000, 0.5000, 0.5000)  4 Mg 2.75, 4 Sc 2.75
Zn (0.0000, 0.0000, 0.0000)  4 Sc 2.75, 4 Mg 2.75
Mg (0.2500, 0.2500, 0.2500)  4 Fe 2.75, 4 Zn 2.75
Sc (0.7500, 0.7500, 0.7500)  4 Zn 2.75, 4 Fe 2.75

(4)
VASP calculation (GGA-PBE) on a relaxed structure of TcGeB4.

Results
- E above lowest polymorph (meV/atom) = 0

a = 4.5867 Å, b = 4.5867 Å, c = 4.5867 Å
α = 141.70°, β = 108.70°, γ = 83.95°
With the nearest neighbours (Å) after each atom.
Sites, in units of the cell vectors:
B (0.9150, 0.2526, 0.6624)  3 B 1.74-1.77
B (0.4097, 0.7474, 0.6624)  3 B 1.74-1.77
B (0.0850, 0.7474, 0.3376)  3 B 1.74-1.77
B (0.5903, 0.2526, 0.3376)  3 B 1.74-1.77
Tc (0.5000, 0.5000, 0.0000)  12 B 2.45-2.47
Ge (0.0000, 0.0000, 0.0000)  12 B 2.42-2.50

(5)
VASP calculation (GGA-PBE) on a relaxed structure of Pr3Hg5Pb.

Results
- E (eV per atom) = -2.626

a = 9.2500 Å, b = 9.2500 Å, c = 6.6225 Å
α = 90.00°, β = 90.00°, γ = 120.00°
With the nearest neighbours (Å) after each atom.
Sites, in units of the cell vectors:
Pr (0.6638, 0.6638, 0.2500)  5 Hg 3.03-3.31
Pr (0.3362, 0.0000, 0.2500)  5 Hg 3.03-3.31
Pr (0.6638, 0.0000, 0.7500)  5 Hg 3.03-3.31
Pr (0.0000, 0.6638, 0.7500)  5 Hg 3.03-3.31
Pr (0.3362, 0.3362, 0.7500)  5 Hg 3.03-3.31
Pr (0.0000, 0.3362, 0.2500)  5 Hg 3.03-3.31
Hg (0.6632, 0.0000, 0.2500)  5 Pr 3.03-3.31
Hg (0.0000, 0.6632, 0.2500)  5 Pr 3.03-3.31
Hg (0.6667, 0.3333, 0.5000)  8 Hg 3.31-3.49, 6 Pr 3.49
Hg (0.3368, 0.3368, 0.2500)  5 Pr 3.03-3.31
Hg (0.3333, 0.6667, 0.0000)  8 Hg 3.31-3.49, 6 Pr 3.49
Hg (0.6632, 0.6632, 0.7500)  5 Pr 3.03-3.31
Hg (0.3333, 0.6667, 0.5000)  8 Hg 3.31-3.49, 6 Pr 3.49
Hg (0.0000, 0.3368, 0.7500)  5 Pr 3.03-3.31
Hg (0.3368, 0.0000, 0.7500)  5 Pr 3.03-3.31
Hg (0.6667, 0.3333, 0.0000)  8 Hg 3.31-3.49, 6 Pr 3.49
Pb (0.0000, 0.0000, 0.5000)  2 Pb 3.31, 6 Pr 3.52, 6 Hg 3.53
Pb (0.0000, 0.0000, 0.0000)  2 Pb 3.31, 6 Pr 3.52, 6 Hg 3.53

(6)
VASP calculation (GGA-PBE) on a relaxed structure of TlPt9.

Results
- E above lowest polymorph (meV/atom) = 0

a = 2.8357 Å, b = 3.9070 Å, c = 38.5215 Å
α = 90.00°, β = 90.00°, γ = 90.00°
With the nearest neighbours (Å) after each atom.
Sites, in units of the cell vectors:
Pt (0.0000, 0.0000, 0.8110)  7 Pt 2.79-2.84, 4 Tl 3.03
Pt (0.0000, 0.0000, 0.2989)  12 Pt 2.79-2.84
Pt (0.0000, 0.0000, 0.2251)  11 Pt 2.79-2.84
Pt (0.0000, 0.0000, 0.6646)  12 Pt 2.79-2.84
Pt (0.0000, 0.0000, 0.4451)  12 Pt 2.79-2.84
Pt (0.5000, 0.5000, 0.2623)  12 Pt 2.80-2.84
Pt (0.5000, 0.5000, 0.7749)  11 Pt 2.79-2.84
Pt (0.5000, 0.5000, 0.6279)  12 Pt 2.79-2.84
Pt (0.5000, 0.5000, 0.3354)  12 Pt 2.79-2.84
Pt (0.5000, 0.5000, 0.5549)  12 Pt 2.79-2.84
Pt (0.5000, 0.5000, 0.4086)  12 Pt 2.79-2.84
Pt (0.5000, 0.5000, 0.1890)  7 Pt 2.79-2.84, 4 Tl 3.03
Pt (0.0000, 0.0000, 0.5914)  12 Pt 2.79-2.84
Pt (0.0000, 0.0000, 0.7377)  12 Pt 2.80-2.84
Pt (0.5000, 0.5000, 0.4817)  12 Pt 2.80-2.84
Pt (0.0000, 0.0000, 0.3721)  12 Pt 2.79-2.84
Pt (0.5000, 0.5000, 0.7011)  12 Pt 2.79-2.84
Pt (0.0000, 0.0000, 0.5183)  12 Pt 2.79-2.84
Tl (0.5000, 0.5000, 0.8585)  2 Tl 2.84, 4 Pt 3.03
Tl (0.0000, 0.0000, 0.1415)  2 Tl 2.84, 4 Pt 3.03

(7)
VASP calculation (GGA-PBE) on a relaxed structure of ZnSiO3.

Results
- E (eV per atom) = -6.237

a = 4.8112 Å, b = 4.8112 Å, c = 6.7281 Å
α = 90.00°, β = 90.00°, γ = 147.61°
With the nearest neighbours (Å) after each atom.
Sites, in units of the cell vectors:
Si (0.0000, 0.0000, 0.0000)  6 O 1.80
Si (0.0000, 0.0000, 0.5000)  6 O 1.80
O (0.9303, 0.0697, 0.7500)  2 Si 1.80
O (0.3757, 0.6243, 0.4463)  2 Si 1.80
O (0.0697, 0.9303, 0.2500)  2 Si 1.80
O (0.3757, 0.6243, 0.0537)  2 Si 1.80
O (0.6243, 0.3757, 0.5537)  2 Si 1.80
O (0.6243, 0.3757, 0.9463)  2 Si 1.80
Zn (0.2603, 0.7397, 0.7500)  8 O 2.07-2.30
Zn (0.7397, 0.2603, 0.2500)  8 O 2.07-2.30

(8)
VASP calculation (GGA-PBE) on a relaxed structure of GdNbCF2.

Results
- E (eV per atom) = -7.460

a = 3.3716 Å, b = 3.3716 Å, c = 6.7200 Å
α = 90.00°, β = 90.00°, γ = 120.00°
With the nearest neighbours (Å) after each atom.
Sites, in units of the cell vectors:
Gd (0.3333, 0.6667, 0.1953)  3 F 2.32, 3 C 2.47
C (0.0000, 0.0000, 0.9702)  3 Nb 2.19
F (0.6667, 0.3333, 0.3828)  3 Gd 2.32, 3 F 2.56
F (0.3333, 0.6667, 0.6293)  3 Nb 2.34, 3 F 2.56
Nb (0.6667, 0.3333, 0.8223)  3 C 2.19, 3 F 2.34

(9)
VASP calculation (GGA-PBE) on a relaxed structure of PaSiB.

Results
- E above lowest polymorph (meV/atom) = 0

a = 3.5279 Å, b = 3.5279 Å, c = 4.2177 Å
α = 90.00°, β = 90.00°, γ = 120.00°
With the nearest neighbours (Å) after each atom.
Sites, in units of the cell vectors:
Pa (0.0000, 0.0000, 0.3333)  6 B 2.93, 6 Si 2.93
Si (0.6667, 0.3333, 0.8333)  3 B 2.04
B (0.3333, 0.6667, 0.8334)  3 Si 2.04

(10)
VASP calculation (GGA-PBE) on a relaxed structure of KAgSnSe3.

Results
- E above lowest polymorph (meV/atom) = 26

a = 12.0555 Å, b = 3.9832 Å, c = 14.3935 Å
α = 90.00°, β = 90.00°, γ = 90.00°
With the nearest neighbours (Å) after each atom.
Sites, in units of the cell vectors:
Sn (0.0347, 0.2500, 0.2119)  5 Se 2.56-2.78
Sn (0.5347, 0.2500, 0.2881)  5 Se 2.56-2.78
Sn (0.9653, 0.7500, 0.7881)  5 Se 2.56-2.78
Sn (0.4653, 0.7500, 0.7119)  5 Se 2.56-2.78
K (0.2899, 0.7500, 0.9930)  4 Se 3.23-3.54, 2 Ag 3.61
K (0.7101, 0.2500, 0.0070)  4 Se 3.23-3.54, 2 Ag 3.61
K (0.2101, 0.2500, 0.4930)  4 Se 3.23-3.54, 2 Ag 3.61
K (0.7899, 0.7500, 0.5070)  4 Se 3.23-3.54, 2 Ag 3.61
Se (0.0578, 0.2500, 0.8950)  1 Ag 2.60, 2 Sn 2.75
Se (0.2607, 0.7500, 0.6647)  1 Sn 2.56, 2 Ag 2.70
Se (0.9584, 0.2500, 0.6532)  2 Sn 2.78, 1 Ag 2.84
Se (0.0416, 0.7500, 0.3468)  2 Sn 2.78, 1 Ag 2.84
Se (0.7393, 0.2500, 0.3353)  1 Sn 2.56, 2 Ag 2.70
Se (0.7607, 0.7500, 0.8353)  1 Sn 2.56, 2 Ag 2.70
Se (0.2393, 0.2500, 0.1647)  1 Sn 2.56, 2 Ag 2.70
Se (0.5416, 0.7500, 0.1532)  2 Sn 2.78, 1 Ag 2.84
Se (0.4422, 0.7500, 0.3950)  1 Ag 2.60, 2 Sn 2.75
Se (0.5578, 0.2500, 0.6050)  1 Ag 2.60, 2 Sn 2.75
Se (0.4584, 0.2500, 0.8468)  2 Sn 2.78, 1 Ag 2.84
Se (0.9422, 0.7500, 0.1050)  1 Ag 2.60, 2 Sn 2.75
Ag (0.2328, 0.2500, 0.7892)  4 Se 2.60-2.84
Ag (0.2672, 0.7500, 0.2892)  4 Se 2.60-2.84
Ag (0.7672, 0.7500, 0.2108)  4 Se 2.60-2.84
Ag (0.7328, 0.2500, 0.7108)  4 Se 2.60-2.84